1.
Here is crystalline LiCo2Se at its relaxed geometry from Alexandria via LeMat-Bulk. Energies are from PBEsol.

Unit cell a=3.6659 b=3.6659 c=4.1070 alpha=116.51 beta=116.51 gamma=90.00
With the nearest neighbours (Å) after each atom.
Sites, in units of the cell vectors:
Co  0.7500  0.2500  0.5000  4 Li 2.43, 4 Se 2.43, 4 Co 2.59
Co  0.2500  0.7500  0.5000  4 Se 2.43, 4 Li 2.43, 4 Co 2.59
Li  0.5000  0.5000  0.0000  8 Co 2.43, 4 Se 2.59
Se  0.0000  0.0000  0.0000  8 Co 2.43, 4 Li 2.59

Crystal system: tetragonal
SG: No. 139
ρ in kg/m3: 7904
Fermi-level density of states in states/eV/atom: 0.528
E_tot in eV per atom: -5.37



2.
Here is crystalline LiCo2Se at its relaxed geometry from Alexandria via LeMat-Bulk. Energies are from PBEsol.

Unit cell a=3.5246 b=3.5246 c=4.4328 alpha=113.43 beta=113.43 gamma=90.00
With the nearest neighbours (Å) after each atom.
Sites, in units of the cell vectors:
Co  0.0000  0.0000  0.0000  4 Li 2.49, 4 Co 2.54, 4 Se 2.54
Co  0.2500  0.7500  0.5000  4 Se 2.49, 4 Li 2.54, 4 Co 2.54
Li  0.5000  0.5000  0.0000  8 Co 2.49-2.54, 4 Se 2.54
Se  0.7500  0.2500  0.5000  8 Co 2.49-2.54, 4 Li 2.54

Crystal system: tetragonal
SG: No. 119
ρ in kg/m3: 7430
Fermi-level density of states in states/eV/atom: 1.072
E_tot in eV per atom: -5.33



3.
Here is crystalline LiCo2Se at its relaxed geometry from Alexandria via LeMat-Bulk. Energies are from PBEsol.

Unit cell a=2.9609 b=2.9609 c=5.2374 alpha=90.00 beta=90.00 gamma=90.00
With the nearest neighbours (Å) after each atom.
Sites, in units of the cell vectors:
Co  0.0000  0.0000  0.7477  4 Se 2.46, 4 Li 2.48, 2 Co 2.59-2.64
Co  0.0000  0.0000  0.2523  4 Se 2.46, 4 Li 2.48, 2 Co 2.59-2.64
Li  0.5000  0.5000  0.0000  8 Co 2.48, 2 Se 2.62
Se  0.5000  0.5000  0.5000  8 Co 2.46, 2 Li 2.62

Crystal system: tetragonal
SG: No. 123
ρ in kg/m3: 7369
Fermi-level density of states in states/eV/atom: 0.863
E_tot in eV per atom: -5.18



4.
Here is crystalline LiCoSe2 at its relaxed geometry from Alexandria via LeMat-Bulk. Energies are from PBEsol.

Unit cell a=3.3354 b=3.7855 c=4.8476 alpha=90.00 beta=90.00 gamma=90.00
With the nearest neighbours (Å) after each atom.
Sites, in units of the cell vectors:
Co  0.0000  0.4622  0.0000  4 Se 2.36-2.48
Se  0.5000  0.9023  0.0000  2 Co 2.36, 2 Li 2.45
Se  0.0000  0.3221  0.5000  2 Co 2.48, 4 Li 2.50-2.55
Li  0.5000  0.8133  0.5000  6 Se 2.45-2.55

Crystal system: orthorhombic
SG: No. 25
ρ in kg/m3: 6071
Fermi-level density of states in states/eV/atom: 1.008
E_tot in eV per atom: -4.69



5.
Here is crystalline LiCo2Si at its relaxed geometry from Alexandria via LeMat-Bulk. Energies are from PBEsol.

Unit cell a=2.6797 b=3.8280 c=4.6802 alpha=114.14 beta=106.64 gamma=90.00
With the nearest neighbours (Å) after each atom.
Sites, in units of the cell vectors:
Co  0.9969  0.9969  0.9937  2 Si 2.31, 4 Li 2.34, 2 Co 2.39
Co  0.7405  0.2405  0.4809  4 Si 2.34, 2 Co 2.39, 2 Li 2.48
Li  0.4983  0.4983  0.9965  6 Co 2.34-2.48, 2 Si 2.54
Si  0.2644  0.7644  0.5288  6 Co 2.31-2.34, 2 Li 2.54

Crystal system: orthorhombic
SG: No. 44
ρ in kg/m3: 6103
Fermi-level density of states in states/eV/atom: 0.837
E_tot in eV per atom: -6.02



6.
Here is crystalline LiCo2Sn2 at its relaxed geometry from Alexandria via LeMat-Bulk. Energies are from PBEsol.

Unit cell a=2.9437 b=7.2201 c=7.2201 alpha=90.00 beta=90.00 gamma=90.00
With the nearest neighbours (Å) after each atom.
Sites, in units of the cell vectors:
Co  0.0000  0.3679  0.8679  6 Sn 2.54-2.61, 1 Co 2.70, 2 Li 2.82
Co  0.0000  0.8679  0.6321  6 Sn 2.54-2.61, 1 Co 2.70, 2 Li 2.82
Co  0.0000  0.6321  0.1321  6 Sn 2.54-2.61, 1 Co 2.70, 2 Li 2.82
Co  0.0000  0.1321  0.3679  6 Sn 2.54-2.61, 1 Co 2.70, 2 Li 2.82
Sn  0.5000  0.1646  0.6646  6 Co 2.54-2.61
Sn  0.5000  0.6646  0.8354  6 Co 2.54-2.61
Sn  0.5000  0.8354  0.3354  6 Co 2.54-2.61
Sn  0.5000  0.3354  0.1646  6 Co 2.54-2.61
Li  0.0000  0.0000  0.0000  4 Co 2.82, 2 Li 2.94, 8 Sn 3.07
Li  0.0000  0.5000  0.5000  4 Co 2.82, 2 Li 2.94, 8 Sn 3.07

E_form in eV/atom: -0.13
Crystal system: tetragonal
SG: No. 127
ρ in kg/m3: 7839
Fermi-level density of states in states/eV/atom: 0.570



7.
Here is crystalline Li2CoSnW at its relaxed geometry from Alexandria via LeMat-Bulk. Energies are from PBEsol.

Unit cell a=4.2231 b=4.2231 c=4.5160 alpha=90.00 beta=90.00 gamma=90.00
With the nearest neighbours (Å) after each atom.
Sites, in units of the cell vectors:
Co  0.0000  0.0000  0.0000  4 Li 2.11, 2 W 2.26
Sn  0.5000  0.5000  0.5000  4 W 2.99, 8 Li 3.09
W  0.0000  0.0000  0.5000  2 Co 2.26
Li  0.0000  0.5000  0.0000  2 Co 2.11
Li  0.5000  0.0000  0.0000  2 Co 2.11

E_form in eV/atom: 0.66
Crystal system: tetragonal
SG: No. 123
ρ in kg/m3: 7739
Fermi-level density of states in states/eV/atom: 0.541



8.
Here is crystalline Sr2LiCo at its relaxed geometry from Alexandria via LeMat-Bulk. Energies are from PBEsol.

Unit cell a=5.2401 b=5.2401 c=5.2401 alpha=60.00 beta=60.00 gamma=60.00
With the nearest neighbours (Å) after each atom.
Sites, in units of the cell vectors:
Co  0.5000  0.5000  0.5000  4 Sr 3.21, 4 Li 3.21
Li  0.2500  0.2500  0.2500  4 Co 3.21, 4 Sr 3.21
Sr  0.0000  0.0000  0.0000  4 Li 3.21, 4 Sr 3.21
Sr  0.7500  0.7500  0.7500  4 Sr 3.21, 4 Co 3.21

Energy relative to the lowest polymorph listed for this composition in meV/atom: 229
E_form in eV/atom: 0.64
Crystal system: cubic
SG: No. 216
ρ in kg/m3: 3935
Fermi-level density of states in states/eV/atom: 1.893



9.
Here is crystalline Sr3LiCo at its relaxed geometry from Alexandria via LeMat-Bulk. Energies are from PBEsol.

Unit cell a=5.6965 b=5.6965 c=5.6965 alpha=90.00 beta=90.00 gamma=90.00
With the nearest neighbours (Å) after each atom.
Sites, in units of the cell vectors:
Sr  0.0000  0.5000  0.0000  2 Co 2.85
Sr  0.0000  0.0000  0.5000  2 Co 2.85
Sr  0.5000  0.0000  0.0000  2 Co 2.85
Co  0.0000  0.0000  0.0000  6 Sr 2.85
Li  0.5000  0.5000  0.5000  12 Sr 4.03

E_form in eV/atom: 0.27
Crystal system: cubic
SG: No. 221
ρ in kg/m3: 2953
Fermi-level density of states in states/eV/atom: 1.199



10.
Here is crystalline Sr2LiCo at its relaxed geometry from Alexandria via LeMat-Bulk. Energies are from PBEsol.

Unit cell a=5.2686 b=5.2686 c=5.2686 alpha=60.00 beta=60.00 gamma=60.00
With the nearest neighbours (Å) after each atom.
Sites, in units of the cell vectors:
Co  0.5000  0.5000  0.5000  8 Sr 3.23
Li  0.0000  0.0000  0.0000  8 Sr 3.23
Sr  0.7500  0.7500  0.7500  4 Co 3.23, 4 Li 3.23
Sr  0.2500  0.2500  0.2500  4 Li 3.23, 4 Co 3.23

Energy relative to the lowest polymorph listed for this composition in meV/atom: 0
E_form in eV/atom: 0.41
Crystal system: cubic
SG: No. 225
ρ in kg/m3: 3872
Fermi-level density of states in states/eV/atom: 1.593



Magnetic moment in μB per atom, matching the order above: 0.000, 0.565, 0.154, 0.308, 0.362, 0.001, 0.000, 0.168, 0.065, 0.050